Crystalline MgAlRe2 at its relaxed geometry, computed with PBE.

Cell lengths 9.225, 2.854, 4.807 Å; angles 90.00, 101.64, 90.00 degrees
Space group Cm (No. 8)
Asymmetric unit:
1 Mg 0.000 0.000 0.000
2 Al 0.235 0.000 0.741
3 Re 0.258 0.500 0.259
4 Re 0.491 0.000 0.497

Magnetization (μB/cell): 0.00
Electronic total energy (eV for the cell shown): -59.169
Energy above the lowest structure with this stoichiometry (eV per formula unit): 0.95
Calculated formation energy (eV/atom): 0.162
Crystal system: monoclinic